Record 1
# La3In | the Alexandria database | PBE | optimized geometry
# Crystal system   tetragonal
# Magnetic moment   0.0 Bohr magnetons per cell
# V   33.8 Å³/atom
# Distance to the lowest polymorph of the same formula   66 meV per atom
# ΔE_f   -0.95 eV per formula unit
data_La3In
_cell_length_a 3.7733
_cell_length_b 3.7733
_cell_length_c 9.5031
_cell_angle_alpha 90.00
_cell_angle_beta 90.00
_cell_angle_gamma 90.00
_symmetry_space_group_name_H-M 'P 4/m m m'
_symmetry_Int_Tables_number 123
_symmetry_space_group_name_Hall '-P 4 2'
loop_
_atom_site_label
_atom_site_fract_x
_atom_site_fract_y
_atom_site_fract_z
La1 0.0000 0.0000 0.0000
La2 0.5000 0.5000 0.2750
In1 0.0000 0.0000 0.5000


Record 2
# K3Hf3NiS8 | the Alexandria database | PBE | optimized geometry
# Crystal system   trigonal
# Magnetic moment   5.1 Bohr magnetons per cell
# Formation energy from raw total energies   -128 kJ/mol of atoms
# V   23.6 Å³/atom
data_K3Hf3NiS8
_cell_length_a 7.3870
_cell_length_b 7.3870
_cell_length_c 22.4583
_cell_angle_alpha 90.00
_cell_angle_beta 90.00
_cell_angle_gamma 120.00
_symmetry_space_group_name_H-M 'R -3 m'
_symmetry_Int_Tables_number 166
_symmetry_space_group_name_Hall '-R 3 2"'
loop_
_atom_site_label
_atom_site_fract_x
_atom_site_fract_y
_atom_site_fract_z
K1 0.0000 0.5000 0.0000
Hf1 0.0000 0.5000 0.5000
Ni1 0.0000 0.0000 0.5000
S1 0.0000 0.0000 0.2322
S2 0.0025 0.5012 0.2286


Record 3
# Li2SO | the Alexandria database | PBE | optimized geometry
# Crystal system   tetragonal
# Magnetic moment   0.0 Bohr magnetons per cell
# Formation energy from raw total energies   -95 kJ/mol of atoms
# V   13.2 Å³/atom
# Distance to the lowest polymorph of the same formula   0 meV per atom
data_Li2SO
_cell_length_a 7.0874
_cell_length_b 7.0874
_cell_length_c 4.2064
_cell_angle_alpha 90.00
_cell_angle_beta 90.00
_cell_angle_gamma 90.00
_symmetry_space_group_name_H-M 'I -4 2 d'
_symmetry_Int_Tables_number 122
_symmetry_space_group_name_Hall 'I -4 2bw'
loop_
_atom_site_label
_atom_site_fract_x
_atom_site_fract_y
_atom_site_fract_z
Li1 0.0898 0.2500 0.1250
S1 0.0000 0.0000 0.5000
O1 0.0000 0.0000 0.0000


Record 4
# K4H3Cl | the Alexandria database | PBE | optimized geometry
# Crystal system   monoclinic
# Magnetic moment   0.1 Bohr magnetons per cell
# Final energy   -2.668 eV per atom
# V   25.6 Å³/atom
data_K4H3Cl
_cell_length_a 11.7848
_cell_length_b 8.3545
_cell_length_c 4.1648
_cell_angle_alpha 90.00
_cell_angle_beta 90.02
_cell_angle_gamma 90.00
_symmetry_space_group_name_H-M 'C 1 2/m 1'
_symmetry_Int_Tables_number 12
loop_
_symmetry_equiv_pos_as_xyz
'x,y,z'
'-x,-y,-z'
'-x,y,-z'
'x,-y,z'
'x+1/2,y+1/2,z'
'-x+1/2,-y+1/2,-z'
'-x+1/2,y+1/2,-z'
'x+1/2,-y+1/2,z'
loop_
_atom_site_label
_atom_site_fract_x
_atom_site_fract_y
_atom_site_fract_z
K1 0.0000 0.2317 0.0000
K2 0.2410 0.0000 0.5017
H1 0.0000 0.0000 0.5000
H2 0.2500 0.2500 0.0000
Cl1 0.0000 0.5000 0.5000